1.
TeBr2N after structural relaxation, computed with PBEsol.

Summary:
formation energy without anion corrections: 1.26 eV/atom
symmetry: No. 166
E_tot: -10.76 eV for the cell shown
distance to the lowest polymorph of the same formula: 0.000 eV per formula unit

Unit cell a=3.2712 b=3.2712 c=9.7038 alpha=80.30 beta=80.30 gamma=60.00
With the nearest neighbours (Å) after each atom.
Element x y z (fractional)
Br: 0.1144 0.1144 0.6567  3 N 2.41
Br: 0.8856 0.8856 0.3433  3 N 2.41
Te: 0.0000 0.0000 0.0000  2 Br 3.27, 6 Te 3.27
N: 0.5000 0.5000 0.5000  6 Br 2.41



2.
TeBr2N after structural relaxation, computed with PBEsol.

Summary:
formation energy without anion corrections: 1.37 eV/atom
symmetry: No. 225
E_tot: -10.33 eV for the cell shown
distance to the lowest polymorph of the same formula: 0.428 eV per formula unit

Unit cell a=4.9481 b=4.9481 c=4.9481 alpha=60.00 beta=60.00 gamma=60.00
With the nearest neighbours (Å) after each atom.
Element x y z (fractional)
Br: 0.2500 0.2500 0.2500  4 Te 3.03, 4 N 3.03
Br: 0.7500 0.7500 0.7500  4 Te 3.03, 4 N 3.03
Te: 0.5000 0.5000 0.5000  8 Br 3.03
N: 0.0000 0.0000 0.0000  8 Br 3.03



3.
TlTe2BrN after structural relaxation, computed with PBEsol.

Summary:
formation energy without anion corrections: 1.05 eV/atom
symmetry: No. 123
E_tot: -14.85 eV for the cell shown

Unit cell a=3.5961 b=6.1484 c=6.1484 alpha=90.00 beta=90.00 gamma=90.00
With the nearest neighbours (Å) after each atom.
Element x y z (fractional)
Br: 0.0000 0.0000 0.0000  2 N 1.80
N: 0.5000 0.0000 0.0000  2 Br 1.80
Te: 0.0000 0.5000 0.0000  2 Br 3.07
Te: 0.0000 0.0000 0.5000  2 Br 3.07
Tl: 0.5000 0.5000 0.5000  8 Te 3.56, 2 Tl 3.60



4.
YTe2BrN after structural relaxation, computed with PBEsol.

Summary:
formation energy without anion corrections: -0.25 eV/atom
symmetry: No. 123
E_tot: -25.50 eV for the cell shown

Unit cell a=4.7743 b=4.7743 c=4.9270 alpha=90.00 beta=90.00 gamma=90.00
With the nearest neighbours (Å) after each atom.
Element x y z (fractional)
N: 0.0000 0.0000 0.0000  4 Te 2.39, 2 Y 2.46
Te: 0.0000 0.5000 0.0000  2 N 2.39
Te: 0.5000 0.0000 0.0000  2 N 2.39
Y: 0.0000 0.0000 0.5000  2 N 2.46
Br: 0.5000 0.5000 0.5000  4 Y 3.38, 8 Te 3.43



5.
ThBrN after structural relaxation, computed with PBEsol.

Summary:
formation energy without anion corrections: -2.04 eV/atom
symmetry: No. 129
E_tot: -49.22 eV for the cell shown

Unit cell a=4.0713 b=4.0713 c=7.4525 alpha=90.00 beta=90.00 gamma=90.00
With the nearest neighbours (Å) after each atom.
Element x y z (fractional)
Br: 0.0000 0.5000 0.3689  5 Th 3.30-3.56, 4 N 3.42, 4 Br 3.48
Br: 0.5000 0.0000 0.6312  5 Th 3.30-3.56, 4 N 3.42, 4 Br 3.48
Th: 0.0000 0.5000 0.8464  4 N 2.34
Th: 0.5000 0.0000 0.1536  4 N 2.34
N: 0.5000 0.5000 0.0000  4 Th 2.34
N: 0.0000 0.0000 0.0000  4 Th 2.34



6.
TiBrN2 after structural relaxation, computed with PBEsol.

Summary:
formation energy without anion corrections: 1.15 eV/atom
symmetry: No. 225
E_tot: -22.65 eV for the cell shown

Unit cell a=3.9443 b=3.9443 c=3.9443 alpha=60.00 beta=60.00 gamma=60.00
With the nearest neighbours (Å) after each atom.
Element x y z (fractional)
Br: 0.5000 0.5000 0.5000  8 N 2.42
Ti: 0.0000 0.0000 0.0000  8 N 2.42
N: 0.7500 0.7500 0.7500  4 Br 2.42, 4 Ti 2.42
N: 0.2500 0.2500 0.2500  4 Br 2.42, 4 Ti 2.42



7.
TiBrN after structural relaxation, computed with PBEsol.

Summary:
formation energy without anion corrections: -1.46 eV/atom
symmetry: No. 59
E_tot: -46.22 eV for the cell shown

Unit cell a=3.3355 b=3.9243 c=8.5290 alpha=90.00 beta=90.00 gamma=90.00
With the nearest neighbours (Å) after each atom.
Element x y z (fractional)
Ti: 0.5000 0.0000 0.0866  4 N 2.00
Ti: 0.0000 0.5000 0.9134  4 N 2.00
Br: 0.5000 0.5000 0.6819  2 Ti 2.59
Br: 0.0000 0.0000 0.3181  2 Ti 2.59
N: 0.0000 0.0000 0.9580  4 Ti 2.00
N: 0.5000 0.5000 0.0420  4 Ti 2.00



8.
TlBrN2 after structural relaxation, computed with PBEsol.

Summary:
formation energy without anion corrections: 1.57 eV/atom
symmetry: No. 122
E_tot: -30.55 eV for the cell shown

Unit cell a=4.7241 b=4.7241 c=6.9267 alpha=109.94 beta=109.94 gamma=90.00
With the nearest neighbours (Å) after each atom.
Element x y z (fractional)
N: 0.4024 0.8750 0.2500  2 Br 2.19, 2 Tl 2.33
N: 0.8476 0.3750 0.2500  2 Br 2.19, 2 Tl 2.33
N: 0.1250 0.1524 0.7500  2 Br 2.19, 2 Tl 2.33
N: 0.6250 0.5976 0.7500  2 Br 2.19, 2 Tl 2.33
Br: 0.7500 0.2500 0.5000  4 N 2.19
Br: 0.5000 0.5000 0.0000  4 N 2.19
Tl: 0.0000 0.0000 0.0000  4 N 2.33
Tl: 0.2500 0.7500 0.5000  4 N 2.33